This record from the Alexandria database describes SiNi2PtO6 after structural relaxation. The functional is GGA+U.

The structure in extended XYZ format:
```
10
Lattice="5.197 0.000 0.000 0.000 5.197 0.000 0.000 0.000 4.264" Properties=species:S:1:pos:R:3 pbc="T T T"
Si 0.000 0.000 0.000
Ni 0.000 2.599 1.557
Ni 2.599 0.000 1.557
Pt 2.599 2.599 0.258
O 0.000 0.000 2.666
O 1.194 1.194 0.604
O 1.194 4.003 0.604
O 2.599 2.599 2.439
O 4.003 1.194 0.604
O 4.003 4.003 0.604
```

Computed properties:
The total DFT energy (no corrections) is -5.464 eV per atom. The space group is No. 99.